# 1
{
  "formula": "Ce2Mn3Cu9As7",
  "functional": "PBE",
  "state": "optimized geometry",
  "magmom_total_mub_per_fu": 14.04,
  "formation_enthalpy_0k_ev_per_atom": -0.31,
  "dos_ef_per_ev_cell": 15.80,
  "final_energy_ev_per_atom": -5.490,
  "lattice": [[9.891, 0.000, 0.000], [-4.945, 8.566, 0.000], [0.000, 0.000, 3.982]],
  "species": ["Ce", "Ce", "Mn", "Mn", "Mn", "Cu", "Cu", "Cu", "Cu", "Cu", "Cu", "Cu", "Cu", "Cu", "As", "As", "As", "As", "As", "As", "As"],
  "frac_coords": [[0.000, 0.000, 0.000], [0.333, 0.667, 0.500], [0.450, 0.206, 0.000], [0.757, 0.550, 0.000], [0.794, 0.243, 0.000], [0.042, 0.287, 0.500], [0.083, 0.708, 0.000], [0.245, 0.958, 0.500], [0.292, 0.375, 0.000], [0.505, 0.453, 0.500], [0.547, 0.052, 0.500], [0.625, 0.917, 0.000], [0.713, 0.755, 0.500], [0.948, 0.495, 0.500], [0.086, 0.454, 0.000], [0.249, 0.208, 0.500], [0.368, 0.914, 0.000], [0.546, 0.632, 0.000], [0.667, 0.333, 0.500], [0.792, 0.040, 0.500], [0.960, 0.751, 0.500]]
}

# 2
{
  "formula": "FeHgAu2",
  "functional": "PBE",
  "state": "optimized geometry",
  "magmom_total_mub_per_fu": 2.85,
  "formation_enthalpy_0k_ev_per_atom": 0.19,
  "dos_ef_per_ev_cell": 2.49,
  "final_energy_ev_per_atom": -3.641,
  "lattice": [[2.935, 0.000, 0.000], [0.000, 2.935, 0.000], [0.000, 0.000, 8.176]],
  "species": ["Fe", "Hg", "Au", "Au"],
  "frac_coords": [[0.000, 0.000, 0.000], [0.500, 0.500, 0.240], [0.000, 0.000, 0.521], [0.500, 0.500, 0.785]]
}